# GGA-PBE PaTi2V, relaxed
data_PaTi2V
_symmetry_space_group_name_H-M 'P 1'
_symmetry_Int_Tables_number 1
_symmetry_space_group_name_Hall 'P 1'
_cell_length_a 4.6396
_cell_length_b 4.6396
_cell_length_c 4.6396
_cell_angle_alpha 60.00
_cell_angle_beta 60.00
_cell_angle_gamma 60.00
loop_
_atom_site_label
_atom_site_fract_x
_atom_site_fract_y
_atom_site_fract_z
V1 0.5000 0.5000 0.5000
Pa1 0.0000 0.0000 0.0000
Ti1 0.7500 0.7500 0.7500
Ti2 0.2500 0.2500 0.2500
# Symmetry ... Fm-3m (225)
# VASP energy ... -8.49 eV per atom
# Energy above the most stable polymorph in this dataset ... 0.000 eV/atom
# Energy relative to the elements ... 0.1106 eV per atom